A relaxed structure of NpCoHg2O6, computed with PBE+U.

Results
calculated total energy	-6.135	eV/atom
crystal system	monoclinic
M_tot	0.200	μB/atom

a b c (Å): 9.947 5.720 5.475
angles (deg): 90.00 122.90 90.00
Space group C2/m (No. 12)
Inequivalent atoms, fractional coordinates:
Np 0.000 0.000 0.000 x2
Co 0.000 0.500 0.500 x2
Hg 0.243 0.500 0.267 x4
O 0.061 0.261 0.320 x8
O 0.232 0.000 0.111 x4

***

A relaxed structure of NpCoHgO6, computed with PBE+U.

Results
calculated total energy	-6.848	eV/atom
crystal system	trigonal
M_tot	0.007	μB/atom

a b c (Å): 5.2080 5.2080 10.1417
angles (deg): 90.00 90.00 120.00
Space group P-31c (No. 163)
Inequivalent atoms, fractional coordinates:
Np 0.3333 0.6667 0.2500 x2
Co 0.3333 0.6667 0.7500 x2
Hg 0.0000 0.0000 0.0000 x2
O 0.0150 0.3707 0.6440 x12

***

A relaxed structure of NpCo2HgO8, computed with PBE+U.

Results
calculated total energy	-6.397	eV/atom
crystal system	tetragonal
M_tot	0.418	μB/atom

a b c (Å): 6.923 6.923 6.704
angles (deg): 90.00 90.00 90.00
Space group I-4m2 (No. 119)
Inequivalent atoms, fractional coordinates:
Np 0.000 0.000 0.000 x2
Co 0.000 0.000 0.500 x2
Co 0.000 0.500 0.250 x2
Hg 0.000 0.500 0.750 x2
O 0.000 0.173 0.683 x8
O 0.000 0.282 0.064 x8

***

A relaxed structure of Co2HgO, computed with PBE+U.

Results
calculated total energy	-3.205	eV/atom
crystal system	cubic
M_tot	1.152	μB/atom

a b c (Å): 6.129 6.129 6.129
angles (deg): 90.00 90.00 90.00
Space group Fm-3m (No. 225)
Inequivalent atoms, fractional coordinates:
Co 0.250 0.250 0.250 x8
Hg 0.000 0.000 0.000 x4
O 0.000 0.000 0.500 x4

***

A relaxed structure of CoHg3O, computed with PBE+U.

Results
calculated total energy	-1.554	eV/atom
crystal system	cubic
M_tot	0.351	μB/atom

a b c (Å): 4.774 4.774 4.774
angles (deg): 90.00 90.00 90.00
Space group Pm-3m (No. 221)
Inequivalent atoms, fractional coordinates:
Co 0.000 0.000 0.000 x1
Hg 0.000 0.500 0.500 x3
O 0.500 0.500 0.500 x1

***

A relaxed structure of Co3HgO, computed with PBE+U.

Results
calculated total energy	-3.769	eV/atom
crystal system	cubic
M_tot	1.086	μB/atom

a b c (Å): 4.005 4.005 4.005
angles (deg): 90.00 90.00 90.00
Space group Pm-3m (No. 221)
Inequivalent atoms, fractional coordinates:
Co 0.000 0.000 0.500 x3
Hg 0.500 0.500 0.500 x1
O 0.000 0.000 0.000 x1

***

A relaxed structure of CoHgO3, computed with PBE+U.

Results
calculated total energy	-4.223	eV/atom
crystal system	cubic
M_tot	0.564	μB/atom

a b c (Å): 3.767 3.767 3.767
angles (deg): 90.00 90.00 90.00
Space group Pm-3m (No. 221)
Inequivalent atoms, fractional coordinates:
Co 0.000 0.000 0.000 x1
Hg 0.500 0.500 0.500 x1
O 0.000 0.000 0.500 x3

***

A relaxed structure of Co2HgO, computed with PBE+U.

Results
calculated total energy	-3.955	eV/atom
crystal system	tetragonal
M_tot	1.000	μB/atom

a b c (Å): 5.100 5.100 10.969
angles (deg): 90.00 90.00 90.00
Space group I4_1/amd (No. 141, origin choice 2)
Inequivalent atoms, fractional coordinates:
Co 0.000 0.000 0.000 x8
Hg 0.000 0.250 0.375 x4
O 0.000 0.250 0.875 x4

***

A relaxed structure of CoHgO2, computed with PBE+U.

Results
calculated total energy	-4.429	eV/atom
crystal system	tetragonal
M_tot	0.746	μB/atom

a b c (Å): 5.048 5.048 9.427
angles (deg): 90.00 90.00 90.00
Space group I-42d (No. 122)
Inequivalent atoms, fractional coordinates:
Co 0.000 0.000 0.000 x4
Hg 0.000 0.000 0.500 x4
O 0.192 0.250 0.125 x8

***

A relaxed structure of CoHg3O, computed with PBE+U.

Results
calculated total energy	-1.257	eV/atom
crystal system	cubic
M_tot	0.405	μB/atom

a b c (Å): 5.074 5.074 5.074
angles (deg): 90.00 90.00 90.00
Space group Pm-3m (No. 221)
Inequivalent atoms, fractional coordinates:
Co 0.000 0.000 0.000 x1
Hg 0.000 0.000 0.500 x3
O 0.500 0.500 0.500 x1

***

A relaxed structure of Co5Hg3O12, computed with PBE+U.

Results
calculated total energy	-4.799	eV/atom
crystal system	cubic
M_tot	0.751	μB/atom

a b c (Å): 12.386 12.386 12.386
angles (deg): 90.00 90.00 90.00
Space group Ia-3d (No. 230)
Inequivalent atoms, fractional coordinates:
Co 0.000 0.000 0.000 x16
Co 0.000 0.250 0.375 x24
Hg 0.000 0.250 0.125 x24
O 0.033 0.045 0.644 x96

***

A relaxed structure of Co3HgO, computed with PBE+U.

Results
calculated total energy	-2.318	eV/atom
crystal system	cubic
M_tot	1.400	μB/atom

a b c (Å): 4.948 4.948 4.948
angles (deg): 90.00 90.00 90.00
Space group Pm-3m (No. 221)
Inequivalent atoms, fractional coordinates:
Co 0.000 0.000 0.500 x3
Hg 0.000 0.000 0.000 x1
O 0.500 0.500 0.500 x1

***

A relaxed structure of CoHgOsO6, computed with PBE+U.

Results
calculated total energy	-5.886	eV/atom
crystal system	trigonal
M_tot	0.000	μB/atom

a b c (Å): 5.0921 5.0921 4.9751
angles (deg): 90.00 90.00 120.00
Space group P312 (No. 149)
Inequivalent atoms, fractional coordinates:
Co 0.0000 0.0000 0.0000 x1
Hg 0.6667 0.3333 0.5000 x1
Os 0.3333 0.6667 0.0000 x1
O 0.0486 0.3342 0.2108 x6

***

A relaxed structure of CoHgP2O, computed with PBE+U.

Results
calculated total energy	-2.887	eV/atom
crystal system	tetragonal
M_tot	0.325	μB/atom

a b c (Å): 5.074 5.074 4.031
angles (deg): 90.00 90.00 90.00
Space group P4/mmm (No. 123)
Inequivalent atoms, fractional coordinates:
Co 0.000 0.000 0.000 x1
Hg 0.500 0.500 0.500 x1
P 0.000 0.500 0.500 x2
O 0.500 0.500 0.000 x1

***

A relaxed structure of CoHgP2O, computed with PBE+U.

Results
calculated total energy	-3.921	eV/atom
crystal system	tetragonal
M_tot	0.353	μB/atom

a b c (Å): 4.764 4.764 3.461
angles (deg): 90.00 90.00 90.00
Space group P4/mmm (No. 123)
Inequivalent atoms, fractional coordinates:
Co 0.000 0.000 0.000 x1
Hg 0.500 0.500 0.500 x1
P 0.000 0.500 0.000 x2
O 0.000 0.000 0.500 x1

***

A relaxed structure of PaCoHg2O8, computed with PBE+U.

Results
calculated total energy	-5.435	eV/atom
crystal system	tetragonal
M_tot	0.364	μB/atom

a b c (Å): 6.436 6.436 8.426
angles (deg): 90.00 90.00 90.00
Space group I-4m2 (No. 119)
Inequivalent atoms, fractional coordinates:
Pa 0.000 0.000 0.000 x2
Co 0.000 0.500 0.250 x2
Hg 0.000 0.000 0.500 x2
Hg 0.000 0.500 0.750 x2
O 0.000 0.220 0.279 x8
O 0.000 0.305 0.955 x8

***

A relaxed structure of PaCoHg2O6, computed with PBE+U.

Results
calculated total energy	-5.993	eV/atom
crystal system	trigonal
M_tot	0.000	μB/atom

a b c (Å): 5.5727 5.5727 14.3319
angles (deg): 90.00 90.00 120.00
Space group R-3 (No. 148, hexagonal axes)
Inequivalent atoms, fractional coordinates:
Pa 0.0000 0.0000 0.0000 x3
Co 0.0000 0.0000 0.5000 x3
Hg 0.0000 0.0000 0.2436 x6
O 0.0219 0.4194 0.2445 x18

***

A relaxed structure of PaCoHgO5, computed with PBE+U.

Results
calculated total energy	-6.835	eV/atom
crystal system	monoclinic
M_tot	0.500	μB/atom

a b c (Å): 8.208 9.071 8.245
angles (deg): 90.00 116.94 90.00
Space group C2/c (No. 15)
Inequivalent atoms, fractional coordinates:
Pa 0.250 0.250 0.000 x4
Co 0.000 0.081 0.250 x4
Hg 0.000 0.432 0.250 x4
O 0.000 0.333 0.750 x4
O 0.088 0.232 0.147 x8
O 0.186 0.026 0.917 x8

***

A relaxed structure of CoHgPt2O, computed with PBE+U.

Results
calculated total energy	-4.236	eV/atom
crystal system	tetragonal
M_tot	0.564	μB/atom

a b c (Å): 4.589 4.589 3.706
angles (deg): 90.00 90.00 90.00
Space group P4/mmm (No. 123)
Inequivalent atoms, fractional coordinates:
Co 0.000 0.000 0.000 x1
Hg 0.500 0.500 0.000 x1
Pt 0.000 0.500 0.500 x2
O 0.000 0.000 0.500 x1

***

A relaxed structure of PuCoHg2O6, computed with PBE+U.

Results
calculated total energy	-6.244	eV/atom
crystal system	trigonal
M_tot	0.500	μB/atom

a b c (Å): 5.6298 5.6298 14.4366
angles (deg): 90.00 90.00 120.00
Space group R-3 (No. 148, hexagonal axes)
Inequivalent atoms, fractional coordinates:
Pu 0.0000 0.0000 0.0000 x3
Co 0.0000 0.0000 0.5000 x3
Hg 0.0000 0.0000 0.2437 x6
O 0.0022 0.4017 0.7516 x18